An optimized crystal structure of CaFe2Co. Source: Alexandria via LeMat-Bulk, functional PBE.

Values from the calculation:
Its space-group type is R3m.

abc: 4.0200 4.0200 5.5611
angles: 68.84 68.84 59.98
Last column: magnetic moment on the atom in μB.
Positions (direct):
Ca (0.5018, 0.5018, 0.4946)  -0.08
Fe (0.9911, 0.9911, 0.0266)  1.91
Fe (0.6935, 0.6935, 0.9194)  2.28
Co (0.3136, 0.3136, 0.0594)  1.16


An optimized crystal structure of CaFe2Co. Source: Alexandria via LeMat-Bulk, functional PBE.

Values from the calculation:
Its space-group type is R-3m.

abc: 8.7220 8.7220 8.7220
angles: 19.13 19.13 19.13
Last column: magnetic moment on the atom in μB.
Positions (direct):
Ca (0.2500, 0.2500, 0.2500)  -0.24
Fe (0.0149, 0.0149, 0.0149)  2.66
Fe (0.4851, 0.4851, 0.4851)  2.66
Co (0.7500, 0.7500, 0.7500)  1.77


An optimized crystal structure of Ca2FeCo. Source: Alexandria via LeMat-Bulk, functional PBE.

Values from the calculation:
Its space-group type is P4/mmm.

abc: 4.8626 4.8624 3.5972
angles: 90.00 90.00 90.00
Last column: magnetic moment on the atom in μB.
Positions (direct):
Co (0.5000, 0.0000, 0.5000)  1.33
Ca (0.0000, 0.0000, 0.0000)  -0.10
Ca (0.5000, 0.5000, 0.0000)  -0.10
Fe (0.0000, 0.5000, 0.5000)  2.74


An optimized crystal structure of CaFe2Co. Source: Alexandria via LeMat-Bulk, functional PBE.

Values from the calculation:
Its space-group type is C2/m.

abc: 4.0549 4.0549 5.5776
angles: 68.39 68.39 60.17
Last column: magnetic moment on the atom in μB.
Positions (direct):
Fe (0.9468, 0.9468, 0.1603)  2.62
Fe (0.5532, 0.5532, 0.3397)  2.62
Ca (0.7500, 0.7500, 0.7500)  -0.06
Co (0.2500, 0.2500, 0.2500)  1.57


An optimized crystal structure of Ca2FeCo. Source: Alexandria via LeMat-Bulk, functional PBE.

Values from the calculation:
Its space-group type is Amm2.

abc: 3.7880 4.4848 5.8743
angles: 67.60 90.00 90.00
Last column: magnetic moment on the atom in μB.
Positions (direct):
Ca (0.0000, 0.9836, 0.9078)  -0.04
Ca (0.5000, 0.2633, 0.3482)  -0.05
Co (0.0000, 0.6828, 0.5097)  1.27
Fe (0.5000, 0.5703, 0.7343)  2.45


An optimized crystal structure of CaFe2Co2. Source: Alexandria via LeMat-Bulk, functional PBE.

Values from the calculation:
Its space-group type is P4/mbm.

abc: 7.2208 7.2208 2.7304
angles: 90.00 90.00 90.00
Last column: magnetic moment on the atom in μB.
Positions (direct):
Fe (0.8554, 0.3554, 0.5000)  2.71
Fe (0.6446, 0.8554, 0.5000)  2.71
Fe (0.3554, 0.1446, 0.5000)  2.71
Fe (0.1446, 0.6446, 0.5000)  2.71
Co (0.8594, 0.6406, 0.0000)  1.46
Co (0.6406, 0.1406, 0.0000)  1.47
Co (0.3594, 0.8594, 0.0000)  1.47
Co (0.1406, 0.3594, 0.0000)  1.46
Ca (0.0000, 0.0000, 0.0000)  -0.06
Ca (0.5000, 0.5000, 0.0000)  -0.06


An optimized crystal structure of Ca2FeCo. Source: Alexandria via LeMat-Bulk, functional PBE.

Values from the calculation:
Its space-group type is R-3m.

abc: 9.2131 9.2131 9.2131
angles: 20.74 20.74 20.74
Last column: magnetic moment on the atom in μB.
Positions (direct):
Co (0.2500, 0.2500, 0.2500)  1.16
Ca (0.9936, 0.9936, 0.9936)  -0.10
Ca (0.5064, 0.5064, 0.5064)  -0.10
Fe (0.7500, 0.7500, 0.7500)  2.82


An optimized crystal structure of CaFeCo. Source: Alexandria via LeMat-Bulk, functional PBE.

Values from the calculation:
Its space-group type is F-43m.

abc: 4.3378 4.3378 4.3378
angles: 60.00 60.00 60.00
Last column: magnetic moment on the atom in μB.
Positions (direct):
Fe (0.0000, 0.0000, 0.0000)  2.93
Co (0.2500, 0.2500, 0.2500)  1.40
Ca (0.5000, 0.5000, 0.5000)  -0.06


An optimized crystal structure of CaFe3Co. Source: Alexandria via LeMat-Bulk, functional PBE.

Values from the calculation:
Its space-group type is Pm-3m.

abc: 4.4165 4.4165 4.4165
angles: 90.00 90.00 90.00
Last column: magnetic moment on the atom in μB.
Positions (direct):
Fe (0.0000, 0.0000, 0.5000)  2.28
Fe (0.0000, 0.5000, 0.0000)  2.49
Fe (0.5000, 0.0000, 0.0000)  2.81
Co (0.5000, 0.5000, 0.5000)  1.96
Ca (0.0000, 0.0000, 0.0000)  -0.21


An optimized crystal structure of Ca2FeCo. Source: Alexandria via LeMat-Bulk, functional PBE.

Values from the calculation:
Its space-group type is Imm2.

abc: 5.9196 5.9196 4.8707
angles: 65.67 65.67 34.65
Last column: magnetic moment on the atom in μB.
Positions (direct):
Co (0.4490, 0.4490, 0.5510)  1.44
Ca (0.0143, 0.0143, 0.9857)  -0.08
Ca (0.2268, 0.2268, 0.2732)  -0.07
Fe (0.8099, 0.8099, 0.6901)  2.58


An optimized crystal structure of CaFe2Co. Source: Alexandria via LeMat-Bulk, functional PBE.

Values from the calculation:
Its space-group type is Pmmm.

abc: 3.1834 4.2252 4.4126
angles: 90.00 90.00 90.00
Last column: magnetic moment on the atom in μB.
Positions (direct):
Co (0.0000, 0.5000, 0.5000)  1.28
Ca (0.5000, 0.0000, 0.5000)  -0.14
Fe (0.0000, 0.0000, 0.0000)  2.50
Fe (0.5000, 0.5000, 0.0000)  2.69


An optimized crystal structure of CaFeCo. Source: Alexandria via LeMat-Bulk, functional PBE.

Values from the calculation:
Its space-group type is P-6m2.

abc: 3.8626 3.8626 4.4238
angles: 90.00 90.00 120.00
Last column: magnetic moment on the atom in μB.
Positions (direct):
Fe (0.3333, 0.6667, 0.5003)  2.29
Ca (0.0000, 0.0000, 0.0001)  -0.07
Co (0.6667, 0.3333, 0.4996)  1.08


An optimized crystal structure of CaFe2Co. Source: Alexandria via LeMat-Bulk, functional PBE.

Values from the calculation:
Its space-group type is C2/m.

abc: 4.9994 5.1939 2.6186
angles: 80.28 80.03 115.95
Last column: magnetic moment on the atom in μB.
Positions (direct):
Fe (0.5000, 0.0000, 0.5000)  2.46
Fe (0.0000, 0.0000, 0.0000)  2.46
Co (0.5000, 0.5000, 0.0000)  1.48
Ca (0.0000, 0.5000, 0.5000)  -0.17


An optimized crystal structure of CaFe2Co. Source: Alexandria via LeMat-Bulk, functional PBE.

Values from the calculation:
Its space-group type is Imm2.

abc: 5.2832 5.2832 5.2832
angles: 147.79 128.28 62.25
Last column: magnetic moment on the atom in μB.
Positions (direct):
Ca (0.5072, 0.5072, 0.0000)  -0.12
Co (0.7797, 0.2797, 0.5000)  1.60
Fe (0.2234, 0.7234, 0.5000)  2.79
Fe (0.9897, 0.9897, 0.0000)  2.39


An optimized crystal structure of CaFe2Co. Source: Alexandria via LeMat-Bulk, functional PBE.

Values from the calculation:
Its space-group type is Immm.

abc: 5.3704 5.3704 5.3704
angles: 148.79 129.31 60.74
Last column: magnetic moment on the atom in μB.
Positions (direct):
Fe (0.5351, 0.5351, 0.0000)  2.76
Fe (0.9649, 0.9649, 0.0000)  2.76
Co (0.7500, 0.2500, 0.5000)  1.34
Ca (0.2500, 0.7500, 0.5000)  -0.12


An optimized crystal structure of Ca2FeCo. Source: Alexandria via LeMat-Bulk, functional PBE.

Values from the calculation:
Its space-group type is I-42d.

abc: 7.7433 7.7433 6.1840
angles: 51.24 51.24 90.00
Last column: magnetic moment on the atom in μB.
Positions (direct):
Ca (0.8750, 0.9004, 0.7500)  -0.11
Ca (0.0996, 0.6250, 0.2500)  -0.11
Ca (0.6504, 0.1250, 0.2500)  -0.11
Ca (0.3750, 0.3496, 0.7500)  -0.11
Co (0.7500, 0.2500, 0.5000)  1.17
Co (0.0000, 0.0000, 0.0000)  1.17
Fe (0.2500, 0.7500, 0.5000)  2.75
Fe (0.5000, 0.5000, 0.0000)  2.75


An optimized crystal structure of Ca2FeCo. Source: Alexandria via LeMat-Bulk, functional PBE.

Values from the calculation:
Its space-group type is P4mm.

abc: 3.3126 3.3126 8.3324
angles: 90.00 90.00 90.00
Last column: magnetic moment on the atom in μB.
Positions (direct):
Ca (0.0000, 0.0000, 0.9244)  -0.06
Ca (0.5000, 0.5000, 0.3256)  -0.03
Fe (0.5000, 0.5000, 0.6674)  2.75
Co (0.0000, 0.0000, 0.5827)  1.61


An optimized crystal structure of Ca2FeCo. Source: Alexandria via LeMat-Bulk, functional PBE.

Values from the calculation:
Its space-group type is Fm-3m.

abc: 4.9440 4.9440 4.9440
angles: 60.00 60.00 60.00
Last column: magnetic moment on the atom in μB.
Positions (direct):
Ca (0.7500, 0.7500, 0.7500)  -0.10
Ca (0.2500, 0.2500, 0.2500)  -0.10
Fe (0.0000, 0.0000, 0.0000)  2.79
Co (0.5000, 0.5000, 0.5000)  1.37


An optimized crystal structure of CaFeCo. Source: Alexandria via LeMat-Bulk, functional PBE.

Values from the calculation:
Its space-group type is F-43m.

abc: 4.4489 4.4489 4.4489
angles: 60.00 60.00 60.00
Last column: magnetic moment on the atom in μB.
Positions (direct):
Fe (0.5000, 0.5000, 0.5000)  2.84
Co (0.0000, 0.0000, 0.0000)  1.37
Ca (0.2500, 0.2500, 0.2500)  -0.10


An optimized crystal structure of CaFe2Co. Source: Alexandria via LeMat-Bulk, functional PBE.

Values from the calculation:
Its space-group type is P2/m.

abc: 3.3616 2.8774 7.2582
angles: 66.52 90.00 90.00
Last column: magnetic moment on the atom in μB.
Positions (direct):
Co (0.5000, 0.7500, 0.7500)  1.66
Ca (0.5000, 0.2500, 0.2500)  -0.09
Fe (0.0000, 0.4209, 0.5783)  2.57
Fe (0.0000, 0.0791, 0.9217)  2.57


An optimized crystal structure of CaFe2Co. Source: Alexandria via LeMat-Bulk, functional PBE.

Values from the calculation:
Its space-group type is Fm-3m.

abc: 4.2486 4.2486 4.2486
angles: 60.00 60.00 60.00
Positions (direct):
Fe (0.2500, 0.2500, 0.2500)
Fe (0.7500, 0.7500, 0.7500)
Ca (0.0000, 0.0000, 0.0000)
Co (0.5000, 0.5000, 0.5000)


An optimized crystal structure of Ca3FeCo. Source: Alexandria via LeMat-Bulk, functional PBE.

Values from the calculation:
Its space-group type is Pm-3m.

abc: 5.1949 5.1949 5.1949
angles: 90.00 90.00 90.00
Last column: magnetic moment on the atom in μB.
Positions (direct):
Ca (0.0000, 0.5000, 0.0000)  0.00
Ca (0.5000, 0.0000, 0.0000)  0.00
Ca (0.0000, 0.0000, 0.5000)  0.00
Co (0.0000, 0.0000, 0.0000)  0.25
Fe (0.5000, 0.5000, 0.5000)  0.00


An optimized crystal structure of CaFe2Co2. Source: Alexandria via LeMat-Bulk, functional PBE.

Values from the calculation:
Its space-group type is I4/mmm.

abc: 3.9502 3.9502 5.6660
angles: 69.60 69.60 90.00
Last column: magnetic moment on the atom in μB.
Positions (direct):
Fe (0.7500, 0.2500, 0.5000)  2.56
Fe (0.2500, 0.7500, 0.5000)  2.56
Co (0.6186, 0.6186, 0.7628)  1.31
Co (0.3814, 0.3814, 0.2372)  1.31
Ca (0.0000, 0.0000, 0.0000)  -0.07


An optimized crystal structure of CaFeCo. Source: Alexandria via LeMat-Bulk, functional PBE.

Values from the calculation:
Its space-group type is I4mm.

abc: 5.6635 5.6636 3.2046
angles: 73.56 73.57 32.87
Last column: magnetic moment on the atom in μB.
Positions (direct):
Co (0.7158, 0.7157, 0.2842)  1.48
Fe (0.2835, 0.2836, 0.7165)  2.60
Ca (0.0007, 0.0007, 0.9993)  -0.11


An optimized crystal structure of Ca2FeCo. Source: Alexandria via LeMat-Bulk, functional PBE.

Values from the calculation:
Its space-group type is Pmmm.

abc: 3.4306 3.3757 8.0726
angles: 65.25 90.00 90.00
Last column: magnetic moment on the atom in μB.
Positions (direct):
Fe (0.5000, 0.7500, 0.7500)  2.82
Co (0.5000, 0.2500, 0.2500)  1.20
Ca (0.0000, 0.5169, 0.4833)  -0.09
Ca (0.0000, 0.9831, 0.0167)  -0.09


An optimized crystal structure of CaFe2Co2. Source: Alexandria via LeMat-Bulk, functional PBE.

Values from the calculation:
Its space-group type is P4/mbm.

abc: 7.2522 7.2522 2.6800
angles: 90.00 90.00 90.00
Last column: magnetic moment on the atom in μB.
Positions (direct):
Co (0.6465, 0.8535, 0.5000)  1.51
Co (0.1465, 0.6465, 0.5000)  1.53
Co (0.8535, 0.3535, 0.5000)  1.53
Co (0.3535, 0.1465, 0.5000)  1.51
Fe (0.3598, 0.8598, 0.0000)  2.63
Fe (0.8598, 0.6402, 0.0000)  2.62
Fe (0.1402, 0.3598, 0.0000)  2.62
Fe (0.6402, 0.1402, 0.0000)  2.63
Ca (0.5000, 0.5000, 0.0000)  -0.08
Ca (0.0000, 0.0000, 0.0000)  -0.08


An optimized crystal structure of CaFe2Co. Source: Alexandria via LeMat-Bulk, functional PBE.

Values from the calculation:
Its space-group type is P4mm.

abc: 3.1312 3.1392 7.2760
angles: 64.38 90.00 90.00
Last column: magnetic moment on the atom in μB.
Positions (direct):
Fe (0.0000, 0.0031, 0.9970)  2.67
Fe (0.5000, 0.3270, 0.1729)  2.59
Ca (0.0000, 0.4933, 0.5068)  -0.09
Co (0.5000, 0.6766, 0.8234)  1.54


An optimized crystal structure of CaFe3Co. Source: Alexandria via LeMat-Bulk, functional PBE.

Values from the calculation:
Its space-group type is Pm-3m.

abc: 4.4605 4.4605 4.4605
angles: 90.00 90.00 90.00
Last column: magnetic moment on the atom in μB.
Positions (direct):
Fe (0.0000, 0.0000, 0.5000)  3.22
Fe (0.0000, 0.5000, 0.0000)  2.95
Fe (0.5000, 0.0000, 0.0000)  2.31
Co (0.0000, 0.0000, 0.0000)  1.46
Ca (0.5000, 0.5000, 0.5000)  -0.09


An optimized crystal structure of CaFe2Co. Source: Alexandria via LeMat-Bulk, functional PBE.

Values from the calculation:
Its space-group type is Cmmm.

abc: 5.1021 5.1021 2.5962
angles: 90.00 90.00 119.23
Last column: magnetic moment on the atom in μB.
Positions (direct):
Fe (0.0000, 0.0000, 0.0000)  2.54
Fe (0.5000, 0.5000, 0.0000)  2.54
Ca (0.5000, 0.0000, 0.5000)  -0.18
Co (0.0000, 0.5000, 0.5000)  1.56


An optimized crystal structure of CaFeCoGe2. Source: Alexandria via LeMat-Bulk, functional PBE.

Values from the calculation:
Its space-group type is I-4m2.

abc: 4.0216 4.0216 5.8445
angles: 110.12 110.12 90.00
Last column: magnetic moment on the atom in μB.
Positions (direct):
Ca (0.0000, 0.0000, 0.0000)  0.00
Co (0.2500, 0.7500, 0.5000)  -0.23
Ge (0.6334, 0.6334, 0.2667)  -0.02
Ge (0.3666, 0.3666, 0.7333)  -0.02
Fe (0.7500, 0.2500, 0.5000)  0.80


no.,calculated total energy (eV/atom),DFT formation energy (eV/atom)
1,-6.28,0.226
2,-5.85,0.663
3,-4.30,0.595
4,-6.29,0.222
5,-4.65,0.239
6,-6.41,0.222
7,-4.13,0.766
8,-5.21,0.648
9,-4.70,2.197
10,-4.61,0.285
11,-5.96,0.547
12,-5.56,0.296
13,-5.94,0.572
14,-6.02,0.485
15,-6.10,0.413
16,-4.10,0.789
17,-4.65,0.244
18,-4.29,0.599
19,-4.41,1.446
20,-6.14,0.365
21,-5.54,0.971
22,-3.38,0.934
23,-6.48,0.145
24,-5.58,0.278
25,-4.31,0.579
26,-6.40,0.224
27,-6.19,0.314
28,-6.30,0.604
29,-5.88,0.628
30,-5.75,-0.393